{
  "formula": "ZrTa2Ir",
  "functional": "PBE",
  "state": "optimized geometry",
  "lattice_angstrom": [[5.5424, 0.0067, 0.0008], [2.6667, 4.8587, -0.0008], [-3.6843, -3.1418, 2.6969]],
  "species": ["Ta", "Ta", "Ir", "Zr"],
  "frac_coords": [[0.4913, 0.4913, 0.0000], [0.0087, 0.0087, 0.0000], [0.2500, 0.7500, 0.5000], [0.7500, 0.2500, 0.5000]],
  "vol_a3_per_atom": 18.14,
  "magnetic_moment_mub_per_fu": 0.000,
  "delta_e_f_ev_per_atom": -0.36
}

{
  "formula": "Tb4Y6Tm",
  "functional": "PBE",
  "state": "optimized geometry",
  "lattice_angstrom": [[7.5250, 0.0000, 0.0000], [0.0000, 7.5250, 0.0000], [-3.7625, -3.7625, 6.6539]],
  "species": ["Tm", "Y", "Y", "Y", "Y", "Y", "Y", "Tb", "Tb", "Tb", "Tb"],
  "frac_coords": [[0.5000, 0.5000, 0.0000], [0.0809, 0.0809, 0.6283], [0.4526, 0.9191, 0.3717], [0.5474, 0.5474, 0.6283], [0.0000, 0.5000, 0.0000], [0.9191, 0.4526, 0.3717], [0.5000, 0.0000, 0.0000], [0.0905, 0.7546, 0.8450], [0.2454, 0.2454, 0.1550], [0.9095, 0.9095, 0.1550], [0.7546, 0.0905, 0.8450]],
  "vol_a3_per_atom": 34.25,
  "magnetic_moment_mub_per_fu": 0.000,
  "delta_e_f_ev_per_atom": 0.43
}

{
  "formula": "CaDy2PdO5",
  "functional": "PBE",
  "state": "optimized geometry",
  "lattice_angstrom": [[5.8113, 0.0000, 0.0000], [0.0000, 6.4619, 0.0000], [0.0000, 0.0000, 6.4619]],
  "species": ["O", "O", "O", "O", "O", "O", "O", "O", "O", "O", "Dy", "Dy", "Dy", "Dy", "Ca", "Ca", "Pd", "Pd"],
  "frac_coords": [[0.7472, 0.1469, 0.6469], [0.7472, 0.8531, 0.3531], [0.7472, 0.3531, 0.1469], [0.2528, 0.1469, 0.6469], [0.2528, 0.8531, 0.3531], [0.5000, 0.5000, 0.5000], [0.2528, 0.3531, 0.1469], [0.2528, 0.6469, 0.8531], [0.7472, 0.6469, 0.8531], [0.5000, 0.0000, 0.0000], [0.5000, 0.1728, 0.3272], [0.5000, 0.3272, 0.8272], [0.5000, 0.8272, 0.6728], [0.5000, 0.6728, 0.1728], [0.0000, 0.0000, 0.0000], [0.0000, 0.5000, 0.5000], [0.0000, 0.0000, 0.5000], [0.0000, 0.5000, 0.0000]],
  "vol_a3_per_atom": 13.48,
  "magnetic_moment_mub_per_fu": 0.000,
  "e_form_raw_kj_per_mol_atoms": -252.2
}

{
  "formula": "RbMnOs2Se",
  "functional": "PBE",
  "state": "optimized geometry",
  "lattice_angstrom": [[-1.4598, -4.4978, -1.1086], [3.2025, -0.1243, -3.7129], [3.3768, -1.8289, 2.9737]],
  "species": ["Mn", "Os", "Os", "Se", "Rb"],
  "frac_coords": [[0.0000, 0.5000, 0.0000], [0.5000, 0.0000, 0.0000], [0.0000, 0.0000, 0.5000], [0.5000, 0.5000, 0.5000], [0.0000, 0.0000, 0.0000]],
  "vol_a3_per_atom": 23.14,
  "magnetic_moment_mub_per_fu": 6.671,
  "e_form_raw_kj_per_mol_atoms": 331.0
}